Entry from Alexandria: crystalline ScGaHPt2 at its relaxed geometry (PBE).

abc: 4.0363 4.0363 4.2374
angles: 90.00 90.00 90.00
With the nearest neighbours (Å) after each atom.
Positions (direct):
Sc 0.0000 0.0000 0.0000  2 H 2.12
Ga 0.5000 0.5000 0.0000  4 Sc 2.85, 8 Pt 2.93
H 0.0000 0.0000 0.5000  4 Pt 2.02, 2 Sc 2.12
Pt 0.0000 0.5000 0.5000  2 H 2.02
Pt 0.5000 0.0000 0.5000  2 H 2.02

Computed properties:
Its space-group type is P4/mmm (123). As for the uncorrected energy: -27.62 eV for the cell shown. Its total magnetization is 0.0 Bohr magnetons per cell. Its crystal system is tetragonal.

Entry from Alexandria: crystalline Na2CaTl4Cd at its relaxed geometry (PBE).

abc: 6.2936 6.2936 16.1976
angles: 90.00 90.00 132.12
With the nearest neighbours (Å) after each atom.
Positions (direct):
Na 0.2120 0.7880 0.5740  4 Tl 3.10-3.47
Na 0.2120 0.7880 0.9260  4 Tl 3.10-3.47
Na 0.7880 0.2120 0.0740  4 Tl 3.10-3.47
Na 0.7880 0.2120 0.4260  4 Tl 3.10-3.47
Ca 0.4294 0.5706 0.7500  6 Tl 3.26-3.47, 3 Cd 3.42-3.48
Ca 0.5706 0.4294 0.2500  6 Tl 3.26-3.47, 3 Cd 3.42-3.48
Tl 0.0889 0.9111 0.1053  1 Cd 3.12, 3 Na 3.23-3.47, 3 Tl 3.24, 2 Ca 3.47
Tl 0.0889 0.9111 0.3947  1 Cd 3.12, 3 Na 3.23-3.47, 3 Tl 3.24, 2 Ca 3.47
Tl 0.1052 0.8948 0.7500  2 Cd 2.94, 2 Na 3.10, 2 Tl 3.24, 2 Ca 3.26
Tl 0.5000 0.5000 0.0000  4 Tl 3.24, 2 Na 3.52
Tl 0.5000 0.5000 0.5000  4 Tl 3.24, 2 Na 3.52
Tl 0.8948 0.1052 0.2500  2 Cd 2.94, 2 Na 3.10, 2 Tl 3.24, 2 Ca 3.26
Tl 0.9111 0.0889 0.6053  1 Cd 3.12, 3 Na 3.23-3.47, 3 Tl 3.24, 2 Ca 3.47
Tl 0.9111 0.0889 0.8947  1 Cd 3.12, 3 Na 3.23-3.47, 3 Tl 3.24, 2 Ca 3.47
Cd 0.2681 0.7319 0.2500  4 Tl 2.94-3.12
Cd 0.7319 0.2681 0.7500  4 Tl 2.94-3.12

Computed properties:
Its space-group type is Cmcm (63). For the formation energy, the calculation gives -137 meV/atom. Its total magnetization is 0.0 Bohr magnetons per cell. Its crystal system is orthorhombic.

Entry from Alexandria: crystalline MgCoRu2 at its relaxed geometry (PBE).

abc: 4.7197 4.7197 2.6709
angles: 90.00 90.00 112.45
With the nearest neighbours (Å) after each atom.
Positions (direct):
Mg 0.0000 0.0000 0.0000  2 Co 2.62, 2 Mg 2.67, 8 Ru 2.71
Co 0.5000 0.5000 0.0000  2 Mg 2.62, 2 Co 2.67, 8 Ru 2.71
Ru 0.0000 0.5000 0.5000  4 Ru 2.62-2.67, 4 Co 2.71, 4 Mg 2.71
Ru 0.5000 0.0000 0.5000  4 Ru 2.62-2.67, 4 Co 2.71, 4 Mg 2.71

Computed properties:
Its space-group type is Cmmm (65). For the formation energy, the calculation gives 275 meV/atom. Its total magnetization is 1.0 Bohr magnetons per cell. Its crystal system is orthorhombic.

Entry from Alexandria: crystalline ErScHgOs at its relaxed geometry (PBE).

abc: 4.8606 4.8606 4.8606
angles: 60.00 60.00 60.00
With the nearest neighbours (Å) after each atom.
Positions (direct):
Er 0.0000 0.0000 0.0000  4 Hg 2.98, 4 Os 2.98
Sc 0.5000 0.5000 0.5000  4 Hg 2.98, 4 Os 2.98
Hg 0.2500 0.2500 0.2500  4 Er 2.98, 4 Sc 2.98
Os 0.7500 0.7500 0.7500  4 Er 2.98, 4 Sc 2.98

Computed properties:
Its space-group type is F-43m (216). The energy above the lowest structure with this stoichiometry comes out at 148 meV per atom. For the formation energy, the calculation gives -302 meV/atom. Its total magnetization is 0.0 Bohr magnetons per cell. Its crystal system is cubic.